A.
Sr2LiTi2: optimized geometry, PBE.

abc: 9.7903 9.7903 3.4911
angles: 90.00 90.00 90.00
Space group P4/mbm (No. 127)
Inequivalent atoms, fractional coordinates:
Sr1 0.2006 0.2994 0.0000 x4
Li1 0.0000 0.0000 0.0000 x2
Ti1 0.0786 0.5786 0.5000 x4

## Properties
- ρ: 2.758 g cm⁻³


B.
Sr2LiTi2: optimized geometry, PBE.

abc: 3.7404 3.7404 22.0990
angles: 90.00 90.00 90.00
Space group I4/mmm (No. 139)
Inequivalent atoms, fractional coordinates:
Sr1 0.0000 0.0000 0.1123 x4
Li1 0.0000 0.0000 0.5000 x2
Ti1 0.0000 0.5000 0.2500 x4

## Properties
- ρ: 2.985 g cm⁻³


Which of them is the most stable, and which is the least stable? B and A, in that order.


A.
Sr2Li2Tl: optimized geometry, PBE.

abc: 8.0464 8.0464 4.9125
angles: 90.00 90.00 90.00
Space group P4/mbm (No. 127)
Inequivalent atoms, fractional coordinates:
Sr1 0.1894 0.3106 0.0000 x4
Li1 0.1241 0.6241 0.5000 x4
Tl1 0.0000 0.0000 0.5000 x2

## Properties
- ρ: 4.109 g cm⁻³


B.
Sr2Li2Tl: optimized geometry, PBE.

abc: 11.1477 6.8291 8.7052
angles: 90.00 105.71 90.00
Space group C2/c (No. 15)
Inequivalent atoms, fractional coordinates:
Sr1 0.1583 0.1092 0.1498 x8
Li1 0.1036 0.3913 0.4808 x8
Tl1 0.0000 0.3045 0.7500 x4

## Properties
- ρ: 4.097 g cm⁻³


C.
Sr2Li2Tl: optimized geometry, PBE.

abc: 9.2755 9.2755 4.2840
angles: 90.00 90.00 90.00
Space group P4/mbm (No. 127)
Inequivalent atoms, fractional coordinates:
Sr1 0.1643 0.3357 0.0000 x4
Li1 0.1280 0.6280 0.5000 x4
Tl1 0.0000 0.0000 0.0000 x2

## Properties
- ρ: 3.546 g cm⁻³


D.
Sr2Li2Tl: optimized geometry, PBE.

abc: 4.0466 4.0466 20.6664
angles: 90.00 90.00 90.00
Space group I4/mmm (No. 139)
Inequivalent atoms, fractional coordinates:
Sr1 0.0000 0.0000 0.0992 x4
Li1 0.0000 0.5000 0.2500 x4
Tl1 0.0000 0.0000 0.5000 x2

## Properties
- ρ: 3.862 g cm⁻³


Which of them is the most stable, and which is the least stable? B and C, in that order.


A.
SrLiTl3: optimized geometry, PBE.

abc: 7.0845 10.4631 7.9289
angles: 90.00 90.00 90.00
Space group Imma (No. 74)
Inequivalent atoms, fractional coordinates:
Sr1 0.0000 0.2500 0.0619 x4
Li1 0.0000 0.0000 0.5000 x4
Tl1 0.0000 0.2500 0.5696 x4
Tl2 0.2500 0.0195 0.7500 x8

## Properties
- ρ: 7.998 g cm⁻³


B.
SrLiTl3: optimized geometry, PBE.

abc: 5.2609 5.2609 5.2609
angles: 90.00 90.00 90.00
Space group Pm-3m (No. 221)
Inequivalent atoms, fractional coordinates:
Sr1 0.0000 0.0000 0.0000 x1
Li1 0.5000 0.5000 0.5000 x1
Tl1 0.0000 0.5000 0.5000 x3

## Properties
- ρ: 8.071 g cm⁻³


Which of them is the most stable, and which is the least stable? A and B, in that order.